First-principles (PBE) data for an optimized crystal structure of La2NdY2Ho, as listed in Alexandria.

a = 6.8033 Å, b = 17.8357 Å, c = 3.4131 Å
α = 90.00°, β = 90.00°, γ = 90.00°
Last column: nearest neighbours and their distance in Å.
Fractional coordinates of all 12 atoms:
La  0.2449  0.1531  0.0000  1 Ho 3.23, 4 Y 3.38-3.54, 2 La 3.41
La  0.2551  0.6531  0.5000  1 Ho 3.23, 4 Y 3.38-3.54, 2 La 3.41
La  0.7449  0.3469  0.5000  1 Ho 3.23, 4 Y 3.38-3.54, 2 La 3.41
La  0.7551  0.8469  0.0000  1 Ho 3.23, 4 Y 3.38-3.54, 2 La 3.41
Nd  0.0000  0.0000  0.5000  2 Nd 3.41, 4 La 3.63, 4 Ho 3.81
Nd  0.5000  0.5000  0.0000  2 Nd 3.41, 4 La 3.63, 4 Ho 3.81
Y  0.2487  0.8272  0.0000  4 La 3.38-3.54, 2 Y 3.41, 1 Ho 3.52
Y  0.2513  0.3272  0.5000  4 La 3.38-3.54, 2 Y 3.41, 1 Ho 3.52
Y  0.7487  0.6728  0.5000  4 La 3.38-3.54, 2 Y 3.41, 1 Ho 3.52
Y  0.7513  0.1728  0.0000  4 La 3.38-3.54, 2 Y 3.41, 1 Ho 3.52
Ho  0.0000  0.5000  0.5000  2 La 3.23, 2 Ho 3.41, 2 Y 3.52
Ho  0.5000  0.0000  0.0000  2 La 3.23, 2 Ho 3.41, 2 Y 3.52

Computed properties:
- Fermi-level density of states: 9.8 states/eV/f.u.
- Final energy: -5.11 eV/atom
- Volume: 414 Å³/cell
- M_tot: 0.000 Bohr magnetons per cell